First-principles (PBE) data for a geometry-optimized TbY5Ir6 structure, as listed in Alexandria via LeMat-Bulk.

Lattice parameters (Å, degrees): 4.747 7.182 7.510 90.00 108.34 90.00
Positions (direct):
Tb (0.000, 0.000, 0.000)
Y (0.000, 0.500, 0.000)
Y (0.333, 0.000, 0.666)
Y (0.333, 0.500, 0.666)
Y (0.667, 0.000, 0.334)
Y (0.667, 0.500, 0.334)
Ir (0.167, 0.250, 0.333)
Ir (0.167, 0.750, 0.333)
Ir (0.500, 0.250, 0.000)
Ir (0.500, 0.750, 0.000)
Ir (0.833, 0.250, 0.667)
Ir (0.833, 0.750, 0.667)

Calculated values
* formation energy: -782.6 meV/atom
* total magnetization: 0.000 μB per atom
* space group: No. 10


First-principles (PBE) data for a geometry-optimized PmTmHgTe structure, as listed in Alexandria via LeMat-Bulk.

Lattice parameters (Å, degrees): 4.184 4.184 23.363 90.00 90.00 120.00
Positions (direct):
Pm (0.000, 0.000, 0.000)
Pm (0.333, 0.667, 0.667)
Pm (0.667, 0.333, 0.333)
Tm (0.000, 0.000, 0.501)
Tm (0.333, 0.667, 0.168)
Tm (0.667, 0.333, 0.834)
Hg (0.000, 0.000, 0.247)
Hg (0.333, 0.667, 0.914)
Hg (0.667, 0.333, 0.580)
Te (0.000, 0.000, 0.754)
Te (0.333, 0.667, 0.421)
Te (0.667, 0.333, 0.088)

Calculated values
* ΔE_f (raw): -853 meV per atom
* total magnetization: 0.000 μB per atom
* space group: No. 160


First-principles (PBE) data for a geometry-optimized Zr2InFe structure, as listed in Alexandria via LeMat-Bulk.

Lattice parameters (Å, degrees): 3.409 4.252 5.771 90.00 107.12 90.00
Positions (direct):
Zr (0.000, 0.000, 0.000)
Zr (0.330, 0.500, 0.661)
In (0.720, 0.000, 0.441)
Fe (0.554, 0.500, 0.106)

Calculated values
* formation energy: -68.8 meV/atom
* total magnetization: 0.001 μB per atom
* space group: No. 6


First-principles (PBE) data for a geometry-optimized KCaFe structure, as listed in Alexandria via LeMat-Bulk.

Lattice parameters (Å, degrees): 7.684 7.684 7.684 90.00 90.00 90.00
Positions (direct):
K (0.000, 0.000, 0.000)
K (0.000, 0.500, 0.500)
K (0.500, 0.000, 0.500)
K (0.500, 0.500, 0.000)
Ca (0.000, 0.000, 0.500)
Ca (0.000, 0.500, 0.000)
Ca (0.500, 0.000, 0.000)
Ca (0.500, 0.500, 0.500)
Fe (0.250, 0.250, 0.750)
Fe (0.250, 0.750, 0.250)
Fe (0.750, 0.250, 0.250)
Fe (0.750, 0.750, 0.750)

Calculated values
* formation energy: 1009.3 meV/atom
* total magnetization: 0.940 μB per atom
* space group: No. 216


First-principles (PBE) data for a geometry-optimized Ba2MgCd4Ga3 structure, as listed in Alexandria via LeMat-Bulk.

Lattice parameters (Å, degrees): 4.761 4.761 11.828 90.00 90.00 90.00
Positions (direct):
Ba (0.000, 0.500, 0.243)
Ba (0.500, 0.000, 0.757)
Mg (0.000, 0.000, 0.500)
Cd (0.000, 0.000, 0.000)
Cd (0.000, 0.500, 0.635)
Cd (0.500, 0.000, 0.365)
Cd (0.500, 0.500, 0.000)
Ga (0.000, 0.500, 0.869)
Ga (0.500, 0.000, 0.131)
Ga (0.500, 0.500, 0.500)

Calculated values
* formation energy: -301.5 meV/atom
* total magnetization: 0.000 μB per atom
* space group: No. 115


First-principles (PBE) data for a geometry-optimized Pr3Nd4Sm3 structure, as listed in Alexandria via LeMat-Bulk.

Lattice parameters (Å, degrees): 3.836 9.656 9.656 89.80 90.00 90.00
Positions (direct):
Pr (0.000, 0.000, 0.000)
Pr (0.000, 0.499, 0.842)
Pr (0.000, 0.842, 0.499)
Nd (0.500, 0.044, 0.301)
Nd (0.500, 0.301, 0.044)
Nd (0.500, 0.541, 0.541)
Nd (0.500, 0.800, 0.800)
Sm (0.000, 0.342, 0.342)
Sm (0.500, 0.172, 0.669)
Sm (0.500, 0.669, 0.172)

Calculated values
* formation energy: 108.0 meV/atom
* total magnetization: 0.000 μB per atom
* space group: No. 38


First-principles (PBE) data for a geometry-optimized BeHgPt3 structure, as listed in Alexandria via LeMat-Bulk.

Lattice parameters (Å, degrees): 8.068 8.068 4.845 90.90 90.90 89.72
Positions (direct):
Be (0.058, 0.942, 0.750)
Be (0.168, 0.832, 0.250)
Be (0.832, 0.168, 0.750)
Be (0.942, 0.058, 0.250)
Hg (0.313, 0.456, 0.925)
Hg (0.456, 0.313, 0.425)
Hg (0.544, 0.687, 0.575)
Hg (0.687, 0.544, 0.075)
Pt (0.036, 0.672, 0.912)
Pt (0.093, 0.216, 0.583)
Pt (0.170, 0.561, 0.419)
Pt (0.216, 0.093, 0.083)
Pt (0.328, 0.964, 0.588)
Pt (0.439, 0.830, 0.081)
Pt (0.561, 0.170, 0.919)
Pt (0.672, 0.036, 0.412)
Pt (0.784, 0.907, 0.917)
Pt (0.830, 0.439, 0.581)
Pt (0.907, 0.784, 0.417)
Pt (0.964, 0.328, 0.088)

Calculated values
* formation energy: -219.5 meV/atom
* total magnetization: 0.000 μB per atom
* relative energy among the computed polymorphs: 8.14 kJ/mol of atoms
* space group: No. 15


First-principles (PBE) data for a geometry-optimized CoRu3S structure, as listed in Alexandria via LeMat-Bulk.

Lattice parameters (Å, degrees): 4.495 4.495 4.495 90.00 90.00 90.00
Positions (direct):
Co (0.000, 0.000, 0.000)
Ru (0.000, 0.000, 0.500)
Ru (0.000, 0.500, 0.000)
Ru (0.500, 0.000, 0.000)
S (0.500, 0.500, 0.500)

Calculated values
* ΔE_f (raw): 1659 meV per atom
* total magnetization: 1.417 μB per atom
* relative energy among the computed polymorphs: 78.68 kJ/mol of atoms
* space group: No. 221


First-principles (PBE) data for a geometry-optimized TmLu3H structure, as listed in Alexandria via LeMat-Bulk.

Lattice parameters (Å, degrees): 4.872 4.872 4.872 90.00 90.00 90.00
Positions (direct):
Tm (0.000, 0.000, 0.000)
Lu (0.000, 0.500, 0.500)
Lu (0.500, 0.000, 0.500)
Lu (0.500, 0.500, 0.000)
H (0.500, 0.500, 0.500)

Calculated values
* DFT total energy: -4.417 eV per atom
* total magnetization: 0.002 μB per atom
* space group: No. 221


First-principles (PBE) data for a geometry-optimized CsTl12In4 structure, as listed in Alexandria via LeMat-Bulk.

Lattice parameters (Å, degrees): 9.221 9.221 9.221 109.47 109.47 109.47
Positions (direct):
Cs (0.000, 0.000, 0.000)
Tl (0.157, 0.356, 0.513)
Tl (0.157, 0.644, 0.801)
Tl (0.199, 0.843, 0.356)
Tl (0.356, 0.199, 0.843)
Tl (0.356, 0.513, 0.157)
Tl (0.487, 0.843, 0.644)
Tl (0.513, 0.157, 0.356)
Tl (0.644, 0.487, 0.843)
Tl (0.644, 0.801, 0.157)
Tl (0.801, 0.157, 0.644)
Tl (0.843, 0.356, 0.199)
Tl (0.843, 0.644, 0.487)
In (0.000, 0.000, 0.500)
In (0.000, 0.500, 0.000)
In (0.500, 0.000, 0.000)
In (0.500, 0.500, 0.500)

Calculated values
* formation energy: 129.8 meV/atom
* total magnetization: 0.000 μB per atom
* space group: No. 204


First-principles (PBE) data for a geometry-optimized NaEuCuPb structure, as listed in Alexandria via LeMat-Bulk.

Lattice parameters (Å, degrees): 7.242 7.242 7.242 90.00 90.00 90.00
Positions (direct):
Na (0.000, 0.000, 0.000)
Na (0.000, 0.500, 0.500)
Na (0.500, 0.000, 0.500)
Na (0.500, 0.500, 0.000)
Eu (0.250, 0.250, 0.250)
Eu (0.250, 0.750, 0.750)
Eu (0.750, 0.250, 0.750)
Eu (0.750, 0.750, 0.250)
Cu (0.000, 0.000, 0.500)
Cu (0.000, 0.500, 0.000)
Cu (0.500, 0.000, 0.000)
Cu (0.500, 0.500, 0.500)
Pb (0.250, 0.250, 0.750)
Pb (0.250, 0.750, 0.250)
Pb (0.750, 0.250, 0.250)
Pb (0.750, 0.750, 0.750)

Calculated values
* formation energy: -122.8 meV/atom
* total magnetization: 1.751 μB per atom
* space group: No. 216


First-principles (PBE) data for a geometry-optimized Ac5PrZn6 structure, as listed in Alexandria via LeMat-Bulk.

Lattice parameters (Å, degrees): 9.487 9.487 5.486 106.78 106.78 120.03
Positions (direct):
Ac (0.000, 0.000, 0.000)
Ac (0.166, 0.834, 0.500)
Ac (0.332, 0.668, 0.000)
Ac (0.668, 0.332, 0.000)
Ac (0.834, 0.166, 0.500)
Pr (0.500, 0.500, 0.500)
Zn (0.094, 0.419, 0.256)
Zn (0.262, 0.262, 0.762)
Zn (0.419, 0.094, 0.256)
Zn (0.581, 0.906, 0.744)
Zn (0.738, 0.738, 0.238)
Zn (0.906, 0.581, 0.744)

Calculated values
* formation energy: -255.2 meV/atom
* total magnetization: 0.000 μB per atom
* space group: No. 12


First-principles (PBE) data for a geometry-optimized AlTlTe2 structure, as listed in Alexandria via LeMat-Bulk.

Lattice parameters (Å, degrees): 7.705 7.705 7.705 90.00 90.00 90.00
Positions (direct):
Al (0.000, 0.000, 0.000)
Al (0.000, 0.500, 0.500)
Al (0.500, 0.000, 0.500)
Al (0.500, 0.500, 0.000)
Tl (0.250, 0.250, 0.750)
Tl (0.250, 0.750, 0.250)
Tl (0.750, 0.250, 0.250)
Tl (0.750, 0.750, 0.750)
Te (0.000, 0.000, 0.500)
Te (0.000, 0.500, 0.000)
Te (0.250, 0.250, 0.250)
Te (0.250, 0.750, 0.750)
Te (0.500, 0.000, 0.000)
Te (0.500, 0.500, 0.500)
Te (0.750, 0.250, 0.750)
Te (0.750, 0.750, 0.250)

Calculated values
* ΔE_f (raw): 246 meV per atom
* total magnetization: 0.000 μB per atom
* space group: No. 216


First-principles (PBE) data for a geometry-optimized Mg2FeP structure, as listed in Alexandria via LeMat-Bulk.

Lattice parameters (Å, degrees): 3.310 3.540 5.378 90.00 90.00 90.00
Positions (direct):
Mg (0.000, 0.000, 0.250)
Mg (0.000, 0.000, 0.750)
Fe (0.500, 0.500, 0.000)
P (0.500, 0.500, 0.500)

Calculated values
* formation energy: 50.8 meV/atom
* total magnetization: 0.571 μB per atom
* space group: No. 47


First-principles (PBE) data for a geometry-optimized AlFePt structure, as listed in Alexandria via LeMat-Bulk.

Lattice parameters (Å, degrees): 2.779 3.543 8.448 90.00 90.00 90.00
Positions (direct):
Al (0.000, 0.000, 0.000)
Al (0.500, 0.500, 0.500)
Fe (0.000, 0.000, 0.659)
Fe (0.500, 0.500, 0.159)
Pt (0.000, 0.000, 0.334)
Pt (0.500, 0.500, 0.834)

Calculated values
* formation energy: -478.6 meV/atom
* total magnetization: 0.893 μB per atom
* space group: No. 44


First-principles (PBE) data for a geometry-optimized TeP2SBr structure, as listed in Alexandria via LeMat-Bulk.

Lattice parameters (Å, degrees): 5.253 5.253 4.994 90.00 90.00 90.00
Positions (direct):
Te (0.000, 0.000, 0.000)
P (0.000, 0.500, 0.000)
P (0.500, 0.000, 0.000)
S (0.000, 0.000, 0.500)
Br (0.500, 0.500, 0.500)

Calculated values
* ΔE_f (raw): 1127 meV per atom
* total magnetization: 0.232 μB per atom
* relative energy among the computed polymorphs: 0.00 kJ/mol of atoms
* space group: No. 123


First-principles (PBE) data for a geometry-optimized KHfTl2Cr structure, as listed in Alexandria via LeMat-Bulk.

Lattice parameters (Å, degrees): 5.404 5.404 4.656 90.00 90.00 90.00
Positions (direct):
K (0.000, 0.000, 0.000)
Hf (0.500, 0.500, 0.000)
Tl (0.000, 0.500, 0.500)
Tl (0.500, 0.000, 0.500)
Cr (0.500, 0.500, 0.500)

Calculated values
* formation energy: 450.7 meV/atom
* total magnetization: 0.000 μB per atom
* space group: No. 123


First-principles (PBE) data for a geometry-optimized Ba2CuTc structure, as listed in Alexandria via LeMat-Bulk.

Lattice parameters (Å, degrees): 3.599 3.599 9.210 90.00 90.00 90.00
Positions (direct):
Ba (0.000, 0.000, 0.000)
Ba (0.500, 0.500, 0.437)
Cu (0.000, 0.000, 0.672)
Tc (0.500, 0.500, 0.748)

Calculated values
* formation energy: 576.0 meV/atom
* total magnetization: 0.008 μB per atom
* relative energy among the computed polymorphs: 15.78 kJ/mol of atoms
* space group: No. 99


First-principles (PBE) data for a geometry-optimized LaHfAlIr2 structure, as listed in Alexandria via LeMat-Bulk.

Lattice parameters (Å, degrees): 4.194 4.194 11.839 90.00 90.00 90.00
Positions (direct):
La (0.000, 0.000, 0.000)
La (0.500, 0.500, 0.500)
Hf (0.000, 0.500, 0.750)
Hf (0.500, 0.000, 0.250)
Al (0.000, 0.500, 0.250)
Al (0.500, 0.000, 0.750)
Ir (0.000, 0.000, 0.386)
Ir (0.000, 0.000, 0.614)
Ir (0.500, 0.500, 0.114)
Ir (0.500, 0.500, 0.886)

Calculated values
* formation energy: -881.6 meV/atom
* total magnetization: 0.000 μB per atom
* space group: No. 119


First-principles (PBE) data for a geometry-optimized RbBNF2 structure, as listed in Alexandria via LeMat-Bulk.

Lattice parameters (Å, degrees): 4.747 4.747 2.812 90.00 90.00 90.00
Positions (direct):
Rb (0.000, 0.000, 0.000)
B (0.500, 0.500, 0.500)
N (0.500, 0.500, 0.000)
F (0.000, 0.500, 0.500)
F (0.500, 0.000, 0.500)

Calculated values
* ΔE_f (raw): -1106 meV per atom
* total magnetization: 0.200 μB per atom
* relative energy among the computed polymorphs: 0.00 kJ/mol of atoms
* space group: No. 123


First-principles (PBE) data for a geometry-optimized TlAs2RuSe structure, as listed in Alexandria via LeMat-Bulk.

Lattice parameters (Å, degrees): 4.696 4.696 5.603 90.00 90.00 90.00
Positions (direct):
Tl (0.000, 0.000, 0.000)
As (0.000, 0.500, 0.500)
As (0.500, 0.000, 0.500)
Ru (0.500, 0.500, 0.500)
Se (0.500, 0.500, 0.000)

Calculated values
* ΔE_f (raw): 245 meV per atom
* total magnetization: 0.000 μB per atom
* relative energy among the computed polymorphs: 0.00 kJ/mol of atoms
* space group: No. 123


First-principles (PBE) data for a geometry-optimized Er4ScCd structure, as listed in Alexandria via LeMat-Bulk.

Lattice parameters (Å, degrees): 3.482 3.482 13.823 90.00 90.00 90.00
Positions (direct):
Er (0.000, 0.000, 0.153)
Er (0.000, 0.000, 0.847)
Er (0.500, 0.500, 0.333)
Er (0.500, 0.500, 0.667)
Sc (0.000, 0.000, 0.500)
Cd (0.500, 0.500, 0.000)

Calculated values
* formation energy: -73.7 meV/atom
* total magnetization: 0.000 μB per atom
* relative energy among the computed polymorphs: 0.00 kJ/mol of atoms
* space group: No. 123


First-principles (PBE) data for a geometry-optimized Mg2ScSi structure, as listed in Alexandria via LeMat-Bulk.

Lattice parameters (Å, degrees): 6.768 6.768 6.768 90.00 90.00 90.00
Positions (direct):
Mg (0.000, 0.000, 0.000)
Mg (0.000, 0.500, 0.500)
Mg (0.250, 0.250, 0.250)
Mg (0.250, 0.750, 0.750)
Mg (0.500, 0.000, 0.500)
Mg (0.500, 0.500, 0.000)
Mg (0.750, 0.250, 0.750)
Mg (0.750, 0.750, 0.250)
Sc (0.000, 0.000, 0.500)
Sc (0.000, 0.500, 0.000)
Sc (0.500, 0.000, 0.000)
Sc (0.500, 0.500, 0.500)
Si (0.250, 0.250, 0.750)
Si (0.250, 0.750, 0.250)
Si (0.750, 0.250, 0.250)
Si (0.750, 0.750, 0.750)

Calculated values
* ΔE_f (raw): -55 meV per atom
* total magnetization: 0.000 μB per atom
* space group: No. 216


First-principles (PBE) data for a geometry-optimized Pr5DyZn4 structure, as listed in Alexandria via LeMat-Bulk.

Lattice parameters (Å, degrees): 3.708 3.708 19.891 90.00 90.00 90.00
Positions (direct):
Pr (0.000, 0.000, 0.000)
Pr (0.000, 0.000, 0.186)
Pr (0.000, 0.000, 0.373)
Pr (0.000, 0.000, 0.627)
Pr (0.000, 0.000, 0.814)
Dy (0.500, 0.500, 0.500)
Zn (0.500, 0.500, 0.094)
Zn (0.500, 0.500, 0.281)
Zn (0.500, 0.500, 0.719)
Zn (0.500, 0.500, 0.906)

Calculated values
* formation energy: -232.9 meV/atom
* total magnetization: 0.000 μB per atom
* space group: No. 123


First-principles (PBE) data for a geometry-optimized Er2Ga3Cu4Ag structure, as listed in Alexandria via LeMat-Bulk.

Lattice parameters (Å, degrees): 4.003 4.003 10.858 90.00 90.00 90.00
Positions (direct):
Er (0.000, 0.500, 0.244)
Er (0.500, 0.000, 0.756)
Ga (0.000, 0.500, 0.869)
Ga (0.500, 0.000, 0.131)
Ga (0.500, 0.500, 0.500)
Cu (0.000, 0.000, 0.000)
Cu (0.000, 0.500, 0.651)
Cu (0.500, 0.000, 0.349)
Cu (0.500, 0.500, 0.000)
Ag (0.000, 0.000, 0.500)

Calculated values
* formation energy: -334.0 meV/atom
* total magnetization: 0.000 μB per atom
* space group: No. 115


First-principles (PBE) data for a geometry-optimized SrMn2Re structure, as listed in Alexandria via LeMat-Bulk.

Lattice parameters (Å, degrees): 8.271 2.998 6.565 90.00 95.81 90.00
Positions (direct):
Sr (0.000, 0.000, 0.000)
Sr (0.500, 0.500, 0.000)
Mn (0.231, 0.000, 0.656)
Mn (0.269, 0.500, 0.344)
Mn (0.731, 0.500, 0.656)
Mn (0.769, 0.000, 0.344)
Re (0.000, 0.500, 0.500)
Re (0.500, 0.000, 0.500)

Calculated values
* formation energy: 634.5 meV/atom
* total magnetization: 1.474 μB per atom
* relative energy among the computed polymorphs: 7.68 kJ/mol of atoms
* space group: No. 12